No. 1
LaCd2Mo | PBE | optimized geometry

Output
The space group is Fm-3m (225). Its formation energy is 0.40 eV/atom. Its density is 7.96 Mg/m³. Its total energy is -15.996 eV/cell.

Cell lengths 5.138, 5.138, 5.138 Å; angles 60.00, 60.00, 60.00 degrees
Fractional positions:
La 0.000 0.000 0.000
Cd 0.250 0.250 0.250
Cd 0.750 0.750 0.750
Mo 0.500 0.500 0.500

=====

No. 2
LaCd2Mo | PBE | optimized geometry

Output
The space group is Cm (8). Its formation energy is 0.32 eV/atom. Its density is 8.40 Mg/m³. Its total energy is -16.298 eV/cell.

Cell lengths 5.641, 5.641, 5.721 Å; angles 106.05, 106.05, 31.42 degrees
Fractional positions:
La 0.000 0.000 0.000
Cd 0.555 0.555 0.533
Cd 0.793 0.793 0.379
Mo 0.250 0.250 0.893